No. 1
PBE Cs3Er3InTe8, relaxed; size of the total moment = 0.000 μB per atom; crystal system = monoclinic; ΔE_f (raw) = -105.7 kJ/mol of atoms; total energy = -60.5 eV per cell
1.0
-2.0482 -5.4326 -6.5902
7.7267 -0.8278 4.1335
-8.3225 -3.4776 5.4534
In Er Te Cs
1 3 8 3
Direct
0.0000 0.0000 0.5000 In
0.5000 0.0000 0.5000 Er
0.0000 0.5000 0.5000 Er
0.5000 0.5000 0.5000 Er
0.2724 0.0427 0.3129 Te
0.7299 0.4599 0.6897 Te
0.2701 0.5401 0.3103 Te
0.2297 0.9573 0.6871 Te
0.7703 0.0427 0.3129 Te
0.2296 0.4591 0.6870 Te
0.7704 0.5409 0.3130 Te
0.7276 0.9573 0.6871 Te
0.0000 0.0000 0.0000 Cs
0.5000 0.5000 0.0000 Cs
0.0000 0.5000 0.0000 Cs

No. 2
PBE Cs2LaErO4, relaxed; size of the total moment = 0.000 μB per atom; crystal system = monoclinic; ΔE_f (raw) = -250.3 kJ/mol of atoms; total energy = -51.8 eV per cell
1.0
-1.6175 2.5180 -2.0944
-1.7143 -4.5099 -4.0981
-5.3364 0.5964 4.8382
O Er Cs La
4 1 2 1
Direct
0.0000 0.7382 0.1659 O
0.5000 0.2089 0.1658 O
0.0000 0.2618 0.8341 O
0.5000 0.7911 0.8342 O
0.0000 0.0000 0.0000 Er
0.0000 0.5000 0.5000 Cs
0.5000 0.0000 0.5000 Cs
0.5000 0.5000 0.0000 La

No. 3
PBE Cs3La2ErO6, relaxed; size of the total moment = 0.000 μB per atom; crystal system = monoclinic; ΔE_f (raw) = -250.1 kJ/mol of atoms; total energy = -77.8 eV per cell
1.0
-2.0159 -5.8877 1.4946
2.8142 3.6470 4.4433
-6.4375 3.3129 -0.1675
Cs O La Er
3 6 2 1
Direct
0.8349 0.1651 0.5000 Cs
0.5000 0.5000 0.5000 Cs
0.1651 0.8349 0.5000 Cs
0.2613 0.2613 0.8321 O
0.7387 0.7387 0.1679 O
0.3726 0.0558 0.1668 O
0.9442 0.6274 0.8332 O
0.0558 0.3726 0.1668 O
0.6274 0.9442 0.8332 O
0.3333 0.6667 0.0000 La
0.6667 0.3333 0.0000 La
0.0000 0.0000 0.0000 Er

No. 4
PBE Cs4La3ErS8, relaxed; size of the total moment = 0.000 μB per atom; crystal system = trigonal; ΔE_f (raw) = -179.9 kJ/mol of atoms; total energy = -85.6 eV per cell
1.0
-4.2014 6.3974 3.8393
-4.8074 -6.2808 5.2050
8.5455 -0.3623 0.4067
Cs S Er La
4 8 1 3
Direct
0.0000 0.0000 0.0000 Cs
0.5000 0.0000 0.0000 Cs
0.5000 0.0000 0.5000 Cs
0.0000 0.0000 0.5000 Cs
0.2215 0.6836 0.4431 S
0.7294 0.6881 0.4588 S
0.2706 0.3119 0.5412 S
0.7407 0.6836 0.9622 S
0.2215 0.6836 0.9622 S
0.7785 0.3164 0.5569 S
0.7785 0.3164 0.0378 S
0.2593 0.3164 0.0378 S
0.0000 0.5000 0.0000 Er
0.5000 0.5000 0.5000 La
0.0000 0.5000 0.5000 La
0.5000 0.5000 0.0000 La

No. 5
PBE Cs3La2ErSe6, relaxed; size of the total moment = 0.000 μB per atom; crystal system = monoclinic; ΔE_f (raw) = -171.3 kJ/mol of atoms; total energy = -59.2 eV per cell
1.0
7.6406 -0.0010 0.0000
-3.8193 6.6175 0.0000
-1.2744 -2.2066 8.3816
Se Er La Cs
6 1 2 3
Direct
0.6173 0.9373 0.8120 Se
0.0627 0.3827 0.1880 Se
0.2569 0.2569 0.8110 Se
0.9373 0.6173 0.8120 Se
0.3827 0.0627 0.1880 Se
0.7431 0.7431 0.1890 Se
0.0000 0.0000 0.0000 Er
0.3335 0.6665 0.0000 La
0.6665 0.3335 0.0000 La
0.5000 0.5000 0.5000 Cs
0.8313 0.1687 0.5000 Cs
0.1687 0.8313 0.5000 Cs

No. 6
PBE Cs3LaEr2Se6, relaxed; size of the total moment = 0.000 μB per atom; crystal system = monoclinic; ΔE_f (raw) = -168.3 kJ/mol of atoms; total energy = -58.4 eV per cell
1.0
7.4852 -0.0006 -0.0006
-3.7413 6.4831 -0.0006
-1.2495 -2.1636 8.3793
Se Cs Er La
6 3 2 1
Direct
0.9378 0.5908 0.8135 Se
0.7150 0.7150 0.1854 Se
0.0622 0.4092 0.1865 Se
0.2850 0.2850 0.8146 Se
0.4092 0.0622 0.1865 Se
0.5908 0.9378 0.8135 Se
0.5000 0.5000 0.5000 Cs
0.8358 0.1642 0.5000 Cs
0.1642 0.8358 0.5000 Cs
0.3331 0.6669 0.0000 Er
0.6669 0.3331 0.0000 Er
0.0000 0.0000 0.0000 La

No. 7
PBE Cs3La2ErTe6, relaxed; size of the total moment = 0.000 μB per atom; crystal system = monoclinic; ΔE_f (raw) = -140.1 kJ/mol of atoms; total energy = -53.3 eV per cell
1.0
8.1218 -0.0013 -0.0005
-4.0601 7.0342 -0.0005
-1.3551 -2.3464 8.9245
Cs Te La Er
3 6 2 1
Direct
0.8305 0.1695 0.5000 Cs
0.1695 0.8305 0.5000 Cs
0.5000 0.5000 0.5000 Cs
0.0642 0.3849 0.1928 Te
0.3849 0.0642 0.1928 Te
0.7443 0.7443 0.1940 Te
0.6151 0.9358 0.8072 Te
0.9358 0.6151 0.8072 Te
0.2557 0.2557 0.8060 Te
0.3337 0.6663 0.0000 La
0.6663 0.3337 0.0000 La
0.0000 0.0000 0.0000 Er

No. 8
PBE Cs3LaEr2Te6, relaxed; size of the total moment = 0.000 μB per atom; crystal system = monoclinic; ΔE_f (raw) = -135.9 kJ/mol of atoms; total energy = -52.4 eV per cell
1.0
-7.8380 0.8213 -1.2687
3.2351 -7.2857 0.4131
0.0977 2.0183 9.0856
Te Cs Er La
6 3 2 1
Direct
0.2830 0.2830 0.8103 Te
0.7170 0.7170 0.1897 Te
0.5900 0.9362 0.8091 Te
0.4100 0.0638 0.1909 Te
0.9362 0.5900 0.8091 Te
0.0638 0.4100 0.1909 Te
0.8365 0.1635 0.5000 Cs
0.1635 0.8365 0.5000 Cs
0.5000 0.5000 0.5000 Cs
0.3330 0.6670 0.0000 Er
0.6670 0.3330 0.0000 Er
0.0000 0.0000 0.0000 La

No. 9
PBE CsLiEr2S4, relaxed; size of the total moment = 0.000 μB per atom; crystal system = orthorhombic; ΔE_f (raw) = -176.1 kJ/mol of atoms; total energy = -86.0 eV per cell
1.0
-0.3037 3.9107 -1.0157
-5.5444 -3.3443 -3.1369
-7.8716 2.3512 11.4060
S Er Cs Li
8 4 2 2
Direct
0.0000 0.0000 0.0000 S
0.2568 0.5135 0.1010 S
0.4099 0.8199 0.7500 S
0.7432 0.4865 0.6010 S
0.2568 0.5135 0.3990 S
0.7432 0.4865 0.8990 S
0.0000 0.0000 0.5000 S
0.5901 0.1801 0.2500 S
0.6346 0.2692 0.0602 Er
0.6346 0.2692 0.4398 Er
0.3654 0.7308 0.5602 Er
0.3654 0.7308 0.9398 Er
0.1048 0.2095 0.7500 Cs
0.8952 0.7905 0.2500 Cs
0.1758 0.3517 0.2500 Li
0.8242 0.6483 0.7500 Li

No. 10
PBE CsLiErSe2, relaxed; size of the total moment = 0.049 μB per atom; crystal system = orthorhombic; ΔE_f (raw) = -115.0 kJ/mol of atoms; total energy = -40.5 eV per cell
1.0
6.4026 0.0000 0.0000
0.0000 7.2332 0.0000
0.0000 -3.6166 7.6823
Li Se Cs Er
2 4 2 2
Direct
0.0000 0.0000 0.0000 Li
0.0000 0.5000 0.0000 Li
0.2908 0.1043 0.2086 Se
0.2908 0.3957 0.7914 Se
0.7092 0.6043 0.2086 Se
0.7092 0.8957 0.7914 Se
0.2238 0.7500 0.5000 Cs
0.7762 0.2500 0.5000 Cs
0.5000 0.2500 0.0000 Er
0.5000 0.7500 0.0000 Er

No. 11
PBE CsLiEr2Te4, relaxed; size of the total moment = 0.000 μB per atom; crystal system = orthorhombic; ΔE_f (raw) = -124.7 kJ/mol of atoms; total energy = -69.6 eV per cell
1.0
4.5021 0.0000 0.0000
-2.2510 7.6773 0.0000
0.0000 0.0000 15.7969
Te Cs Li Er
8 2 2 4
Direct
0.7386 0.4772 0.8976 Te
0.0000 0.0000 0.5000 Te
0.5784 0.1568 0.2500 Te
0.0000 0.0000 0.0000 Te
0.2614 0.5228 0.3976 Te
0.4216 0.8432 0.7500 Te
0.2614 0.5228 0.1024 Te
0.7386 0.4772 0.6024 Te
0.8894 0.7788 0.2500 Cs
0.1106 0.2212 0.7500 Cs
0.1728 0.3456 0.2500 Li
0.8272 0.6544 0.7500 Li
0.3673 0.7345 0.9373 Er
0.6327 0.2655 0.4373 Er
0.3673 0.7345 0.5627 Er
0.6327 0.2655 0.0627 Er

No. 12
PBE CsErMgO3, relaxed; size of the total moment = 0.000 μB per atom; crystal system = monoclinic; ΔE_f (raw) = -249.3 kJ/mol of atoms; total energy = -74.8 eV per cell
1.0
-0.9831 -2.9820 -1.7398
-0.5487 -3.8886 6.9752
-7.7373 3.7701 -2.0897
O Er Cs Mg
6 2 2 2
Direct
0.7500 0.1558 0.5725 O
0.7500 0.4772 0.1267 O
0.2500 0.8442 0.4275 O
0.7500 0.8490 0.1503 O
0.2500 0.5228 0.8733 O
0.2500 0.1510 0.8497 O
0.7500 0.3371 0.8654 Er
0.2500 0.6629 0.1346 Er
0.2500 0.2161 0.2182 Cs
0.7500 0.7839 0.7818 Cs
0.7500 0.9201 0.3851 Mg
0.2500 0.0799 0.6149 Mg